Entry a
LiTa2Ni, single point on PBEsol structure, DFT SCAN; SG = I4/mmm (139)
1.0
-1.937 1.937 3.799
1.937 -1.937 3.799
1.937 1.937 -3.799
Li Ta Ni
1 2 1
direct
0.000 0.000 0.000
0.250 0.750 0.500
0.750 0.250 0.500
0.500 0.500 0.000

---

Entry b
LiTa2Ni, single point on PBEsol structure, DFT SCAN; SG = P4/mmm (123)
1.0
3.141 0.000 0.000
0.000 3.141 0.000
0.000 0.000 5.742
Li Ta Ni
1 2 1
direct
0.000 0.000 0.000
0.500 0.500 0.253
0.500 0.500 0.747
0.000 0.000 0.500

---

The structure with the most favorable energy is entry a; the runner-up is 67 meV/atom above it.